[1]
Here is a PBEsol-optimized structure of Zr3Re from Alexandria. Energies are from SCAN.

Lattice parameters (Å, degrees): 3.284 3.284 7.314 90.00 90.00 90.00
Fractional positions:
1 Zr 0.000 0.000 0.000
2 Zr 0.500 0.500 0.283
3 Zr 0.500 0.500 0.717
4 Re 0.000 0.000 0.500

Values from the calculation:
Space-group type: P4/mmm, No. 123



[2]
Here is a PBEsol-optimized structure of ZrRe2 from Alexandria. Energies are from SCAN.

Lattice parameters (Å, degrees): 5.921 5.921 5.921 150.30 150.30 42.49
Fractional positions:
1 Zr 0.000 0.000 0.000
2 Re 0.315 0.315 0.000
3 Re 0.685 0.685 0.000

Values from the calculation:
Space-group type: I4/mmm, No. 139



[3]
Here is a PBEsol-optimized structure of Ru2Rh from Alexandria. Energies are from SCAN.

Lattice parameters (Å, degrees): 5.964 5.964 5.964 154.18 154.18 36.84
Fractional positions:
1 Ru 0.170 0.170 0.000
2 Ru 0.830 0.830 0.000
3 Rh 0.500 0.500 0.000

Values from the calculation:
Space-group type: I4/mmm, No. 139



[4]
Here is a PBEsol-optimized structure of RuRh7 from Alexandria. Energies are from SCAN.

Lattice parameters (Å, degrees): 5.336 5.336 5.336 60.00 60.00 60.00
Fractional positions:
1 Ru 0.000 0.000 0.000
2 Rh 0.000 0.000 0.500
3 Rh 0.000 0.500 0.000
4 Rh 0.000 0.500 0.500
5 Rh 0.500 0.000 0.000
6 Rh 0.500 0.000 0.500
7 Rh 0.500 0.500 0.000
8 Rh 0.500 0.500 0.500

Values from the calculation:
Space-group type: Fm-3m, No. 225



[5]
Here is a PBEsol-optimized structure of Ru2Rh from Alexandria. Energies are from SCAN.

Lattice parameters (Å, degrees): 5.942 5.942 3.764 90.00 90.00 142.99
Fractional positions:
1 Ru 0.085 0.915 0.750
2 Ru 0.251 0.749 0.250
3 Ru 0.749 0.251 0.750
4 Ru 0.915 0.085 0.250
5 Rh 0.416 0.584 0.750
6 Rh 0.584 0.416 0.250

Values from the calculation:
Space-group type: Cmcm, No. 63



[6]
Here is a PBEsol-optimized structure of Ru2Rh from Alexandria. Energies are from SCAN.

Lattice parameters (Å, degrees): 4.618 4.618 4.618 146.52 131.89 59.88
Fractional positions:
1 Ru 0.170 0.170 0.000
2 Ru 0.830 0.830 0.000
3 Rh 0.500 0.500 0.000

Values from the calculation:
Space-group type: Immm, No. 71



[7]
Here is a PBEsol-optimized structure of Ru2Rh from Alexandria. Energies are from SCAN.

Lattice parameters (Å, degrees): 5.042 5.042 6.313 103.27 103.27 30.88
Fractional positions:
1 Ru 0.142 0.142 0.029
2 Ru 0.197 0.197 0.641
3 Ru 0.803 0.803 0.359
4 Ru 0.858 0.858 0.971
5 Rh 0.473 0.473 0.696
6 Rh 0.527 0.527 0.304

Values from the calculation:
Space-group type: C2/m, No. 12



[8]
Here is a PBEsol-optimized structure of RuRh2 from Alexandria. Energies are from SCAN.

Lattice parameters (Å, degrees): 4.619 4.619 4.619 146.47 131.87 59.93
Fractional positions:
1 Ru 0.000 0.000 0.000
2 Rh 0.336 0.336 0.000
3 Rh 0.664 0.664 0.000

Values from the calculation:
Space-group type: Immm, No. 71



[9]
Here is a PBEsol-optimized structure of Ru2Rh from Alexandria. Energies are from SCAN.

Lattice parameters (Å, degrees): 2.662 2.662 6.527 90.00 90.00 120.00
Fractional positions:
1 Ru 0.333 0.667 0.161
2 Ru 0.667 0.333 0.839
3 Rh 0.000 0.000 0.500

Values from the calculation:
Space-group type: P-3m1, No. 164



[10]
Here is a PBEsol-optimized structure of RuRh2 from Alexandria. Energies are from SCAN.

Lattice parameters (Å, degrees): 7.122 7.122 4.284 90.00 90.00 158.28
Fractional positions:
1 Ru 0.112 0.888 0.750
2 Ru 0.888 0.112 0.250
3 Rh 0.224 0.776 0.250
4 Rh 0.446 0.554 0.750
5 Rh 0.554 0.446 0.250
6 Rh 0.776 0.224 0.750

Values from the calculation:
Space-group type: Cmcm, No. 63



[11]
Here is a PBEsol-optimized structure of Ru7Rh from Alexandria. Energies are from SCAN.

Lattice parameters (Å, degrees): 5.323 5.323 5.323 60.00 60.00 60.00
Fractional positions:
1 Ru 0.000 0.000 0.000
2 Ru 0.000 0.000 0.500
3 Ru 0.000 0.500 0.000
4 Ru 0.000 0.500 0.500
5 Ru 0.500 0.000 0.000
6 Ru 0.500 0.000 0.500
7 Ru 0.500 0.500 0.000
8 Rh 0.500 0.500 0.500

Values from the calculation:
Space-group type: Fm-3m, No. 225



[12]
Here is a PBEsol-optimized structure of Ru4Rh from Alexandria. Energies are from SCAN.

Lattice parameters (Å, degrees): 4.611 4.611 4.611 99.62 99.62 131.74
Fractional positions:
1 Ru 0.096 0.698 0.793
2 Ru 0.302 0.096 0.398
3 Ru 0.698 0.904 0.602
4 Ru 0.904 0.302 0.207
5 Rh 0.500 0.500 0.000

Values from the calculation:
Space-group type: I4/m, No. 87



| no. | E_tot (eV/cell) |
| --- | --- |
| 1 | -163.87 |
| 2 | -173.46 |
| 3 | -103.26 |
| 4 | -271.06 |
| 5 | -206.39 |
| 6 | -103.22 |
| 7 | -206.80 |
| 8 | -102.33 |
| 9 | -103.24 |
| 10 | -204.58 |
| 11 | -276.64 |
| 12 | -172.62 |